A relaxed structure of Cs8I3Br5. Source: the Alexandria database, functional PBE.

a = 10.732 Å, b = 10.732 Å, c = 10.732 Å
α = 59.38°, β = 59.38°, γ = 59.38°
Positions (direct):
Cs1 0.239 0.750 0.750
Cs2 0.243 0.243 0.243
Cs3 0.250 0.250 0.761
Cs4 0.250 0.761 0.250
Cs5 0.750 0.239 0.750
Cs6 0.750 0.750 0.239
Cs7 0.757 0.757 0.757
Cs8 0.761 0.250 0.250
I1 0.000 0.500 0.500
I2 0.500 0.000 0.500
I3 0.500 0.500 0.000
Br1 0.000 0.000 0.000
Br2 0.000 0.000 0.500
Br3 0.000 0.500 0.000
Br4 0.500 0.000 0.000
Br5 0.500 0.500 0.500

**Final energy**: -2.9335 eV per atom
**Volume**: 53.85 A^3/atom



A relaxed structure of Nb2SbRu. Source: the Alexandria database, functional PBE.

a = 10.320 Å, b = 10.320 Å, c = 10.320 Å
α = 158.10°, β = 158.10°, γ = 31.17°
Positions (direct):
Nb1 0.120 0.625 0.995
Nb2 0.375 0.370 0.495
Nb3 0.630 0.125 0.005
Nb4 0.875 0.880 0.505
Sb1 0.000 0.000 0.000
Sb2 0.750 0.250 0.500
Ru1 0.250 0.750 0.500
Ru2 0.500 0.500 0.000

**Final energy**: -8.0111 eV per atom
**Volume**: 19.10 A^3/atom



A relaxed structure of Ho4ThS5. Source: the Alexandria database, functional PBE.

a = 10.400 Å, b = 10.400 Å, c = 10.400 Å
α = 158.38°, β = 148.99°, γ = 38.12°
Positions (direct):
Ho1 0.098 0.098 0.000
Ho2 0.299 0.299 0.000
Ho3 0.701 0.701 0.000
Ho4 0.902 0.902 0.000
Th1 0.500 0.500 0.000
S1 0.000 0.500 0.500
S2 0.199 0.699 0.500
S3 0.394 0.894 0.500
S4 0.606 0.106 0.500
S5 0.801 0.301 0.500

**Final energy**: -6.5652 eV per atom
**Volume**: 21.32 A^3/atom